1.
Below is an optimized crystal structure of Mg2TcRh, with properties calculated at the PBE level.

Properties
DFT total energy: -0.1876 hartree per atom
N(E_F): 4.8 states/eV/cell
total magnetic moment: 1.15 Bohr magnetons per cell

abc: 5.0027 5.0027 5.0027
angles: 133.87 133.87 67.29
Last column: nearest neighbours and their distance in Å.
Sites, in units of the cell vectors:
1 Mg 0.2500 0.7500 0.5000  4 Mg 2.77, 4 Tc 2.86, 4 Rh 2.86
2 Mg 0.7500 0.2500 0.5000  4 Mg 2.77, 4 Tc 2.86, 4 Rh 2.86
3 Tc 0.0000 0.0000 0.0000  4 Rh 2.77, 8 Mg 2.86
4 Rh 0.5000 0.5000 0.0000  4 Tc 2.77, 8 Mg 2.86

=====

2.
Below is an optimized crystal structure of MgTcRh2, with properties calculated at the PBE level.

Properties
DFT total energy: -0.2317 hartree per atom
N(E_F): 8.5 states/eV/cell
total magnetic moment: 0.00 Bohr magnetons per cell

abc: 5.6828 5.6828 5.6828
angles: 103.23 103.23 122.84
Last column: nearest neighbours and their distance in Å.
Sites, in units of the cell vectors:
1 Mg 0.0000 0.0000 0.0000  2 Tc 2.72, 4 Rh 2.76
2 Mg 0.7500 0.2500 0.5000  2 Tc 2.72, 4 Rh 2.76
3 Tc 0.2500 0.7500 0.5000  4 Rh 2.42
4 Tc 0.5000 0.5000 0.0000  4 Rh 2.42
5 Rh 0.1599 0.6250 0.0349  2 Tc 2.42
6 Rh 0.3750 0.4099 0.5349  2 Tc 2.42
7 Rh 0.5901 0.1250 0.9651  2 Tc 2.42
8 Rh 0.8750 0.8401 0.4651  2 Tc 2.42

=====

3.
Below is an optimized crystal structure of MgTc2Rh, with properties calculated at the PBE level.

Properties
DFT total energy: -0.2715 hartree per atom
N(E_F): 4.4 states/eV/cell
total magnetic moment: 0.00 Bohr magnetons per cell

abc: 2.7721 3.9032 5.5540
angles: 90.00 90.00 90.00
Last column: nearest neighbours and their distance in Å.
Sites, in units of the cell vectors:
1 Mg 0.0000 0.0000 0.0000  4 Rh 2.70, 6 Tc 2.77-2.88, 2 Mg 2.77
2 Tc 0.0000 0.0000 0.5013  6 Tc 2.67-2.77, 2 Mg 2.77-2.78, 4 Rh 2.85
3 Tc 0.5000 0.5000 0.7127  6 Tc 2.67-2.77, 2 Rh 2.72-2.84, 4 Mg 2.88
4 Rh 0.5000 0.5000 0.2237  4 Mg 2.70, 6 Tc 2.72-2.85, 2 Rh 2.77

=====

4.
Below is an optimized crystal structure of MgTc2Rh, with properties calculated at the PBE level.

Properties
DFT total energy: -0.2719 hartree per atom
N(E_F): 2.2 states/eV/cell
total magnetic moment: 0.00 Bohr magnetons per cell

abc: 4.9579 4.9579 4.9653
angles: 111.66 111.66 32.73
Last column: nearest neighbours and their distance in Å.
Sites, in units of the cell vectors:
1 Mg 0.0000 0.0000 0.0000  3 Rh 2.57-2.61, 2 Mg 2.79, 2 Tc 2.84
2 Tc 0.2328 0.2328 0.5846  1 Tc 2.37
3 Tc 0.4540 0.4540 0.4759  1 Tc 2.37
4 Rh 0.7416 0.7416 0.0534  3 Mg 2.57-2.61, 4 Tc 2.68-2.69, 2 Rh 2.79

=====

5.
Below is an optimized crystal structure of MgTc2Rh, with properties calculated at the PBE level.

Properties
DFT total energy: -0.2696 hartree per atom
N(E_F): 3.2 states/eV/cell
total magnetic moment: 0.00 Bohr magnetons per cell

abc: 2.7561 4.2875 5.0650
angles: 90.00 90.00 90.00
Last column: nearest neighbours and their distance in Å.
Sites, in units of the cell vectors:
1 Mg 0.0000 0.0000 0.0000  2 Rh 2.53, 2 Mg 2.76, 8 Tc 2.81
2 Tc 0.5000 0.5000 0.2349  1 Tc 2.38
3 Tc 0.5000 0.5000 0.7651  1 Tc 2.38
4 Rh 0.0000 0.0000 0.5000  2 Mg 2.53, 2 Rh 2.76

=====

6.
Below is an optimized crystal structure of MgTcRh2, with properties calculated at the PBE level.

Properties
DFT total energy: -0.2472 hartree per atom
N(E_F): 2.2 states/eV/cell
total magnetic moment: 0.00 Bohr magnetons per cell

abc: 5.6206 5.6206 5.6206
angles: 151.14 133.52 55.64
Last column: nearest neighbours and their distance in Å.
Sites, in units of the cell vectors:
1 Mg 0.0000 0.0000 0.0000  4 Rh 2.62, 2 Mg 2.80
2 Tc 0.7212 0.2212 0.5000  6 Rh 2.54-2.68, 2 Tc 2.80
3 Rh 0.2761 0.7761 0.5000  4 Tc 2.68, 4 Rh 2.70-2.80
4 Rh 0.5082 0.5082 0.0000  2 Tc 2.54, 4 Mg 2.62, 4 Rh 2.70-2.80

=====

- Among the records above, which one has the highest total magnetic moment?
  Mg2TcRh

=====

- Number 1 is which compound?
  Mg2TcRh

=====

- Which of these has the highest DFT total energy?
  Mg2TcRh

=====

What did the first record say?
Below is an optimized crystal structure of Mg2TcRh, with properties calculated at the PBE level.

Properties
DFT total energy: -0.1876 hartree per atom
N(E_F): 4.8 states/eV/cell
total magnetic moment: 1.15 Bohr magnetons per cell

abc: 5.0027 5.0027 5.0027
angles: 133.87 133.87 67.29
Last column: nearest neighbours and their distance in Å.
Sites, in units of the cell vectors:
1 Mg 0.2500 0.7500 0.5000  4 Mg 2.77, 4 Tc 2.86, 4 Rh 2.86
2 Mg 0.7500 0.2500 0.5000  4 Mg 2.77, 4 Tc 2.86, 4 Rh 2.86
3 Tc 0.0000 0.0000 0.0000  4 Rh 2.77, 8 Mg 2.86
4 Rh 0.5000 0.5000 0.0000  4 Tc 2.77, 8 Mg 2.86